Entry 1:
VASP calculation (meta-GGA SCAN) on CaSiPb3 at its PBEsol-relaxed geometry.

Results
VASP energy in eV per atom: -48.3672
N(E_F) in states/eV/atom: 1.096
Energy above the most stable polymorph in this dataset in meV/atom: 826
SG: Pm-3m (221)

a b c (Å): 5.6461 5.6461 5.6461
angles (deg): 90.00 90.00 90.00
Positions (direct):
Ca1 0.0000 0.0000 0.0000
Pb1 0.0000 0.0000 0.5000
Si1 0.5000 0.5000 0.5000
Pb2 0.0000 0.5000 0.0000
Pb3 0.5000 0.0000 0.0000

=====

Entry 2:
VASP calculation (meta-GGA SCAN) on La2CrTc at its PBEsol-relaxed geometry.

Results
Formation enthalpy at 0 K in eV per formula unit: 1.12
VASP energy in eV per atom: -34.6329
N(E_F) in states/eV/atom: 0.810
Energy above the most stable polymorph in this dataset in meV/atom: 38
SG: Fm-3m (225)

a b c (Å): 5.0508 5.0508 5.0508
angles (deg): 60.00 60.00 60.00
Each line ends with the local moment (μB).
Positions (direct):
La1 0.2500 0.2500 0.2500  0.01
La2 0.7500 0.7500 0.7500  0.01
Tc1 0.5000 0.5000 0.5000  0.14
Cr1 0.0000 0.0000 0.0000  3.82

=====

Entry 3:
VASP calculation (meta-GGA SCAN) on Cu11Sb3 at its PBEsol-relaxed geometry.

Results
VASP energy in eV per atom: -19.8593
N(E_F) in states/eV/atom: 0.229
SG: Amm2 (38)

a b c (Å): 4.2280 4.7536 9.7490
angles (deg): 104.11 90.00 90.00
Positions (direct):
Cu1 0.0000 0.5793 0.8533
Cu2 0.5000 0.5634 0.4395
Cu3 0.5000 0.2761 0.8541
Cu4 0.5000 0.6525 0.7042
Cu5 0.0000 0.7259 0.1467
Sb1 0.0000 0.0112 0.7084
Cu6 0.5000 0.1240 0.5605
Cu7 0.5000 0.4220 0.1459
Cu8 0.0000 0.2029 0.0000
Sb2 0.5000 0.8396 0.0000
Sb3 0.0000 0.3027 0.2916
Cu9 0.5000 0.9482 0.2958
Cu10 0.0000 0.8701 0.4280
Cu11 0.0000 0.4421 0.5720

=====

Entry 4:
VASP calculation (meta-GGA SCAN) on Y2SiAu at its PBEsol-relaxed geometry.

Results
VASP energy in eV per atom: -34.4455
N(E_F) in states/eV/atom: 0.851
SG: P4/mmm (123)

a b c (Å): 4.1138 4.1138 5.8059
angles (deg): 90.00 90.00 90.00
Positions (direct):
Si1 0.5000 0.5000 0.8749
Y1 0.0000 0.0000 0.8752
Y2 0.5000 0.5000 0.3747
Au1 0.0000 0.0000 0.3752

=====

Entry 5:
VASP calculation (meta-GGA SCAN) on La2YZn at its PBEsol-relaxed geometry.

Results
Formation enthalpy at 0 K in eV per formula unit: -0.61
VASP energy in eV per atom: -32.0455
N(E_F) in states/eV/atom: 1.337
Energy above the most stable polymorph in this dataset in meV/atom: 40
SG: P4/mmm (123)

a b c (Å): 3.6995 3.6995 8.5457
angles (deg): 90.00 90.00 90.00
Positions (direct):
Zn1 0.5000 0.5000 0.5000
La1 0.0000 0.0000 0.2910
La2 0.0000 0.0000 0.7090
Y1 0.5000 0.5000 0.0000

=====

Entry 6:
VASP calculation (meta-GGA SCAN) on BeCr2As at its PBEsol-relaxed geometry.

Results
Formation enthalpy at 0 K in eV per formula unit: -0.04
VASP energy in eV per atom: -15.3389
N(E_F) in states/eV/atom: 0.758
SG: Amm2 (38)

a b c (Å): 3.0269 3.5884 4.4971
angles (deg): 90.00 109.67 90.00
Each line ends with the local moment (μB).
Positions (direct):
Cr1 0.2759 0.5000 0.5518  2.43
As1 0.7048 0.0000 0.4096  -0.10
Be1 0.5414 0.5000 0.0828  -0.06
Cr2 0.9843 0.0000 0.9686  0.93

=====

Entry 7:
VASP calculation (meta-GGA SCAN) on FeCoTe at its PBEsol-relaxed geometry.

Results
VASP energy in eV per atom: -23.7888
N(E_F) in states/eV/atom: 0.456
Energy above the most stable polymorph in this dataset in meV/atom: 63
SG: P3m1 (156)

a b c (Å): 3.6839 3.6839 3.9563
angles (deg): 90.00 90.00 120.00
Each line ends with the local moment (μB).
Positions (direct):
Fe1 0.3333 0.6667 0.7477  2.62
Co1 0.0000 0.0000 0.9466  0.45
Te1 0.6667 0.3333 0.3057  -0.03

=====

Entry 8:
VASP calculation (meta-GGA SCAN) on InMoPt2C at its PBEsol-relaxed geometry.

Results
Formation enthalpy at 0 K in eV per formula unit: 0.76
VASP energy in eV per atom: -43.5995
N(E_F) in states/eV/atom: 0.862
SG: P4/mmm (123)

a b c (Å): 4.1661 4.1831 4.1831
angles (deg): 90.00 90.00 90.00
Positions (direct):
In1 0.5000 0.5000 0.5000
Mo1 0.5000 0.0000 0.0000
C1 0.0000 0.0000 0.0000
Pt1 0.0000 0.0000 0.5000
Pt2 0.0000 0.5000 0.0000

=====

> Which value of VASP energy does entry 2 give?

-34.6329 eV per atom

=====

> Which value of VASP energy does entry 3 give?

-19.8593 eV per atom

=====

> Among the records above, which one has the lowest N(E_F)?

Cu11Sb3

=====

> Which of these has the lowest N(E_F)?

Cu11Sb3